Compound: PrDyNi2
Source: Alexandria via LeMat-Bulk
Functional: GGA-PBE
Structure: relaxed

Geometry as POSCAR:
```
PrDyNi2
1.0
-4.268 0.039 2.367
-0.713 -2.985 3.795
-0.267 1.821 4.520
Pr Ni Dy
1 2 1
Direct
0.000 0.000 0.000
0.250 0.250 0.250
0.750 0.750 0.750
0.500 0.500 0.500
```

Values from the calculation:
The energy of formation from the pure elements is -276 meV per atom. Its mass density is 8.50 g cm⁻³. The calculation puts the density of states at the Fermi level at 4.578 states/eV/f.u. For the energy above the most stable polymorph in this dataset, the calculation gives 0.090 eV/atom. The value obtained for the total magnetization is 0.00 μB/atom.